## P
Computed, not measured: a geometry-optimized Y5ErTm4 structure at the PBE level of DFT.

abc: 7.0036 8.8452 8.7158
angles: 79.17 90.05 37.68
Atoms (fractional coordinates):
Y 0.4373 0.6106 0.7797
Y 0.0999 0.2007 0.5991
Y 0.9971 0.8000 0.3995
Y 0.6594 0.3895 0.2203
Y 0.3018 0.9992 0.0014
Er 0.7970 0.0008 0.9987
Tm 0.9400 0.6104 0.7801
Tm 0.5978 0.1992 0.6023
Tm 0.5005 0.8001 0.3990
Tm 0.1589 0.3895 0.2199

SG: No. 1

## Q
Computed, not measured: a geometry-optimized Y5ErTm4 structure at the PBE level of DFT.

abc: 6.6622 6.2429 9.1319
angles: 89.98 72.41 62.08
Atoms (fractional coordinates):
Y 0.8499 0.4644 0.8490
Y 0.0527 0.8643 0.6493
Y 0.8506 0.1363 0.3510
Y 0.0515 0.5345 0.1506
Y 0.6502 0.0671 0.0502
Er 0.2528 0.9314 0.9495
Tm 0.4499 0.3316 0.7488
Tm 0.6505 0.7343 0.5499
Tm 0.2515 0.2670 0.4505
Tm 0.4507 0.6691 0.2513

SG: No. 1

Most stable: Q. Least stable: P.

## P
Computed, not measured: a geometry-optimized Y3Er3Tm structure at the PBE level of DFT.

abc: 6.1457 6.1457 14.4869
angles: 77.75 77.75 60.00
Atoms (fractional coordinates):
Y 0.9336 0.2672 0.1995
Y 0.5997 0.9336 0.1995
Y 0.2672 0.5997 0.1995
Y 0.7328 0.4003 0.8005
Y 0.4003 0.0664 0.8005
Y 0.0664 0.7328 0.8005
Er 0.1983 0.8665 0.3999
Er 0.5354 0.1983 0.3999
Er 0.8665 0.5354 0.3999
Er 0.1335 0.4646 0.6001
Er 0.4646 0.8017 0.6001
Er 0.8017 0.1335 0.6001
Tm 0.6667 0.6667 0.0000
Tm 0.3333 0.3333 0.0000

SG: No. 148

## Q
Computed, not measured: a geometry-optimized Y3Er3Tm structure at the PBE level of DFT.

abc: 5.6077 9.5439 9.5425
angles: 120.00 90.00 90.00
Atoms (fractional coordinates):
Y 0.7500 0.7593 0.8080
Y 0.7500 0.0487 0.2406
Y 0.7500 0.1919 0.9513
Y 0.2500 0.2407 0.1920
Y 0.2500 0.9513 0.7594
Y 0.2500 0.8081 0.0487
Er 0.2500 0.5216 0.6173
Er 0.2500 0.0957 0.4785
Er 0.2500 0.3827 0.9043
Er 0.7500 0.4784 0.3827
Er 0.7500 0.9043 0.5215
Er 0.7500 0.6173 0.0957
Tm 0.7500 0.3333 0.6666
Tm 0.2500 0.6667 0.3334

SG: No. 176

Most stable: Q. Least stable: P.

## P
Computed, not measured: a geometry-optimized YEr3Tm5 structure at the PBE level of DFT.

abc: 9.0391 9.0391 11.6182
angles: 56.59 56.59 57.37
Atoms (fractional coordinates):
Y 0.1369 0.1369 0.6468
Y 0.8631 0.8631 0.3532
Er 0.7251 0.7251 0.7096
Er 0.7441 0.7441 0.1964
Er 0.0000 0.0000 0.0000
Er 0.0000 0.0000 0.5000
Er 0.2749 0.2749 0.2904
Er 0.2559 0.2559 0.8036
Tm 0.9342 0.2944 0.1711
Tm 0.3208 0.6792 0.0000
Tm 0.6542 0.6542 0.0289
Tm 0.4456 0.4456 0.3969
Tm 0.5544 0.5544 0.6031
Tm 0.3458 0.3458 0.9711
Tm 0.2944 0.9342 0.1711
Tm 0.6792 0.3208 0.0000
Tm 0.0658 0.7056 0.8289
Tm 0.7056 0.0658 0.8289

SG: No. 12

## Q
Computed, not measured: a geometry-optimized YEr3Tm5 structure at the PBE level of DFT.

abc: 9.2700 9.2700 9.2255
angles: 57.49 57.49 74.22
Atoms (fractional coordinates):
Y 0.6988 0.3012 0.7500
Y 0.3012 0.6988 0.2500
Er 0.0000 0.0000 0.0000
Er 0.1297 0.2967 0.5118
Er 0.0000 0.0000 0.5000
Er 0.8703 0.7033 0.4882
Er 0.2967 0.1297 0.0118
Er 0.7033 0.8703 0.9882
Tm 0.1736 0.8264 0.7500
Tm 0.6694 0.5138 0.0010
Tm 0.4761 0.1012 0.2752
Tm 0.3306 0.4862 0.9990
Tm 0.8988 0.5239 0.2248
Tm 0.8264 0.1736 0.2500
Tm 0.5138 0.6694 0.5010
Tm 0.4862 0.3306 0.4990
Tm 0.1012 0.4761 0.7752
Tm 0.5239 0.8988 0.7248

SG: No. 15

Most stable: Q. Least stable: P.